Below is an optimized crystal structure of LaCe2Ho, with properties calculated at the PBE-GGA level.

```
LaCe2Ho
1.0
8.073 0.000 0.000
0.000 8.073 0.000
0.000 0.000 8.073
La Ce Ho
4 8 4
direct
0.000 0.000 0.000
0.000 0.500 0.500
0.500 0.000 0.500
0.500 0.500 0.000
0.250 0.250 0.250
0.250 0.250 0.750
0.250 0.750 0.250
0.250 0.750 0.750
0.750 0.250 0.250
0.750 0.250 0.750
0.750 0.750 0.250
0.750 0.750 0.750
0.000 0.000 0.500
0.000 0.500 0.000
0.500 0.000 0.000
0.500 0.500 0.500
```

Output
DOS at the Fermi energy = 15.0 states/eV/f.u.
formation enthalpy at 0 K = 0.271 eV/atom
M_tot = 4.2 μB/f.u.
polymorph energy (0 for the lowest one) = 0.1726 eV/atom
VASP energy = -81.2 eV per cell
mass density = 7.37 Mg/m³